Entry from Alexandria via LeMat-Bulk: Sc3Mn2PbO8 after structural relaxation (PBE+U).

```
Sc3Mn2PbO8
1.0
3.2680 1.8868 4.9581
-3.2680 1.8868 4.9581
0.0000 -3.7735 4.9581
Sc Mn Pb O
3 2 1 8
Direct
0.0013 0.4994 0.4994
0.4994 0.0013 0.4994
0.4994 0.4994 0.0013
0.1211 0.1211 0.1211
0.4979 0.4979 0.4979
0.8878 0.8878 0.8878
0.2608 0.2608 0.2608
0.2610 0.2610 0.7130
0.2610 0.7130 0.2610
0.3180 0.7147 0.7147
0.7130 0.2610 0.2610
0.7147 0.3180 0.7147
0.7147 0.7147 0.3180
0.7368 0.7368 0.7368
```

Properties
The space-group type is No. 160. For the electronic total energy, the calculation gives -7.9492 eV per atom.